# Tl4HgTeS | Alexandria | PBE-GGA | optimized geometry
# - formation energy (no corrections) (eV per atom) = -0.2188
# - space group = No. 11
# - total energy (eV per atom) = -2.652
# - volume (Å³/cell) = 484.9
# - crystal system = monoclinic
data_Tl4HgTeS
_cell_length_a 7.5635
_cell_length_b 7.3695
_cell_length_c 9.3415
_cell_angle_alpha 90.00
_cell_angle_beta 111.36
_cell_angle_gamma 90.00
_space_group_name_H-M_alt 'P 1'
_space_group_IT_number 1
_space_group_name_Hall 'P 1'
loop_
_atom_site_label
_atom_site_type_symbol
_atom_site_fract_x
_atom_site_fract_y
_atom_site_fract_z
Tl1 Tl 0.0975 0.5156 0.7650
Tl2 Tl 0.9025 0.0156 0.2350
Tl3 Tl 0.9025 0.4844 0.2350
Tl4 Tl 0.0975 0.9844 0.7650
Tl5 Tl 0.4618 0.7500 0.1200
Tl6 Tl 0.5382 0.2500 0.8800
Tl7 Tl 0.3541 0.7500 0.5296
Tl8 Tl 0.6459 0.2500 0.4704
Hg1 Hg 0.7380 0.7500 0.8694
Hg2 Hg 0.2620 0.2500 0.1306
Te1 Te 0.7830 0.7500 0.4797
Te2 Te 0.2170 0.2500 0.5203
S1 S 0.1557 0.7500 0.2085
S2 S 0.8443 0.2500 0.7915